[1]
A plane-wave DFT calculation with PBE-GGA was carried out for a geometry-optimized Be2ZnCuRu structure.

a = 4.0107 Å, b = 4.0107 Å, c = 4.2484 Å
α = 90.00°, β = 90.00°, γ = 90.00°
Closest atoms and distances in Å follow each position.
Space group P4/mmm (No. 123)
One atom of each set of equivalent atoms:
Be 0.0000 0.5000 0.0000 x2  2 Zn 2.01
Zn 0.0000 0.0000 0.0000 x1  4 Be 2.01, 2 Cu 2.12
Cu 0.0000 0.0000 0.5000 x1  2 Zn 2.12
Ru 0.5000 0.5000 0.5000 x1  4 Cu 2.84, 8 Be 2.92

ΔE_f (meV per atom): 1004

=====

[2]
A plane-wave DFT calculation with PBE-GGA was carried out for a geometry-optimized BaPtRhC2 structure.

a = 4.6053 Å, b = 4.6053 Å, c = 5.1497 Å
α = 90.00°, β = 90.00°, γ = 90.00°
Closest atoms and distances in Å follow each position.
Space group P4/mmm (No. 123)
One atom of each set of equivalent atoms:
Ba 0.0000 0.0000 0.0000 x1  4 C 2.30, 2 Rh 2.57
Pt 0.5000 0.5000 0.5000 x1  4 Rh 3.26, 8 C 3.45
Rh 0.0000 0.0000 0.5000 x1  2 Ba 2.57
C 0.0000 0.5000 0.0000 x2  2 Ba 2.30

ΔE_f (meV per atom): 3378

=====

[3]
A plane-wave DFT calculation with PBE-GGA was carried out for a geometry-optimized Mn2C structure.

a = 2.4978 Å, b = 2.4978 Å, c = 8.2958 Å
α = 90.00°, β = 90.00°, γ = 90.00°
Closest atoms and distances in Å follow each position.
Space group I4/mmm (No. 139)
One atom of each set of equivalent atoms:
Mn 0.0000 0.0000 0.1381 x4  4 C 2.11, 1 Mn 2.29
C 0.0000 0.0000 0.5000 x2  8 Mn 2.11

ΔE_f (meV per atom): 318

=====

[4]
A plane-wave DFT calculation with PBE-GGA was carried out for a geometry-optimized Li2GeSeI structure.

a = 4.8680 Å, b = 4.8680 Å, c = 5.5167 Å
α = 90.00°, β = 90.00°, γ = 90.00°
Closest atoms and distances in Å follow each position.
Space group P4/mmm (No. 123)
One atom of each set of equivalent atoms:
Li 0.0000 0.5000 0.0000 x2  2 Se 2.43
Ge 0.0000 0.0000 0.5000 x1  2 Se 2.76
Se 0.0000 0.0000 0.0000 x1  4 Li 2.43
I 0.5000 0.5000 0.5000 x1  4 Ge 3.44, 8 Li 3.68

Energy (eV for the cell shown): -16.05

=====

[5]
A plane-wave DFT calculation with PBE-GGA was carried out for a geometry-optimized CaU3P4 structure.

a = 7.9814 Å, b = 11.2598 Å, c = 3.9665 Å
α = 90.00°, β = 90.00°, γ = 90.00°
Closest atoms and distances in Å follow each position.
Space group Cmmm (No. 65)
One atom of each set of equivalent atoms:
Ca 0.0000 0.0000 0.0000 x2  6 P 2.86-2.87
U 0.0000 0.5000 0.0000 x2  6 P 2.76-2.77
U 0.2500 0.2500 0.5000 x4  6 P 2.81-2.82
P 0.0000 0.2537 0.0000 x4  5 U 2.77-2.81, 1 Ca 2.86
P 0.2396 0.5000 0.5000 x4  4 U 2.76-2.82, 2 Ca 2.87

ΔE_f (meV per atom): -1003

=====

[6]
A plane-wave DFT calculation with PBE-GGA was carried out for a geometry-optimized RbLiRuN2 structure.

a = 4.0974 Å, b = 4.0974 Å, c = 4.2366 Å
α = 90.00°, β = 90.00°, γ = 90.00°
Closest atoms and distances in Å follow each position.
Space group P4/mmm (No. 123)
One atom of each set of equivalent atoms:
Rb 0.0000 0.0000 0.0000 x1  2 Li 2.12
Li 0.0000 0.0000 0.5000 x1  4 N 2.05, 2 Rb 2.12
Ru 0.5000 0.5000 0.0000 x1  4 Rb 2.90, 8 N 2.95
N 0.0000 0.5000 0.5000 x2  2 Li 2.05

Energy (eV for the cell shown): -18.21

=====

[7]
A plane-wave DFT calculation with PBE-GGA was carried out for a geometry-optimized Cs2GeCl4 structure.

a = 8.0068 Å, b = 7.1383 Å, c = 10.1152 Å
α = 90.00°, β = 110.31°, γ = 90.00°
Closest atoms and distances in Å follow each position.
Space group P2_1/m (No. 11)
One atom of each set of equivalent atoms:
Cs 0.1061 0.2500 0.4203 x2  8 Cl 3.48-3.73, 1 Ge 3.80
Cs 0.2594 0.7500 0.0679 x2  8 Cl 3.62-3.88
Ge 0.4628 0.7500 0.6574 x2  2 Cl 2.35
Cl 0.2053 0.7500 0.4103 x2  1 Ge 2.63
Cl 0.2166 0.2500 0.1165 x2  1 Ge 2.78
Cl 0.3310 0.5106 0.7469 x4  1 Ge 2.35

E above lowest polymorph (meV/atom): 16

=====

[8]
A plane-wave DFT calculation with PBE-GGA was carried out for a geometry-optimized Dy2Zn2Ag structure.

a = 7.2809 Å, b = 7.2809 Å, c = 8.3416 Å
α = 90.00°, β = 90.00°, γ = 90.00°
Closest atoms and distances in Å follow each position.
Space group P4/mnc (No. 128)
One atom of each set of equivalent atoms:
Dy 0.1707 0.3293 0.0000 x8  6 Zn 2.95-3.02
Zn 0.1266 0.6266 0.2500 x8  1 Zn 2.61, 2 Ag 2.87
Ag 0.0000 0.0000 0.2496 x4  4 Zn 2.87

ΔE_f (meV per atom): -298

=====

[9]
A plane-wave DFT calculation with PBE-GGA was carried out for a geometry-optimized TiCr2SiP structure.

a = 4.2096 Å, b = 4.2096 Å, c = 4.5826 Å
α = 90.00°, β = 90.00°, γ = 90.00°
Closest atoms and distances in Å follow each position.
Space group P4/mmm (No. 123)
One atom of each set of equivalent atoms:
Ti 0.0000 0.0000 0.0000 x1  4 Si 2.98, 8 Cr 3.11
Cr 0.0000 0.5000 0.5000 x2  2 P 2.10
Si 0.5000 0.5000 0.0000 x1  2 P 2.29
P 0.5000 0.5000 0.5000 x1  4 Cr 2.10, 2 Si 2.29

Energy (eV for the cell shown): -35.42

=====

[10]
A plane-wave DFT calculation with PBE-GGA was carried out for a geometry-optimized Nb2FeAg structure.

a = 3.8139 Å, b = 3.8139 Å, c = 19.7085 Å
α = 90.00°, β = 90.00°, γ = 90.00°
Closest atoms and distances in Å follow each position.
Space group I-42d (No. 122)
One atom of each set of equivalent atoms:
Nb 0.2398 0.2500 0.1250 x8  4 Nb 2.64-2.75, 2 Fe 2.80, 2 Ag 2.82
Fe 0.0000 0.0000 0.0000 x4  4 Ag 2.70, 4 Nb 2.80
Ag 0.0000 0.0000 0.5000 x4  4 Fe 2.70, 4 Nb 2.82

ΔE_f (meV per atom): 746
E above lowest polymorph (meV/atom): 382

=====

[11]
A plane-wave DFT calculation with PBE-GGA was carried out for a geometry-optimized TiBiB2Os structure.

a = 4.1715 Å, b = 4.1715 Å, c = 5.2786 Å
α = 90.00°, β = 90.00°, γ = 90.00°
Closest atoms and distances in Å follow each position.
Space group P4/mmm (No. 123)
One atom of each set of equivalent atoms:
Ti 0.0000 0.0000 0.0000 x1  4 B 2.09
Bi 0.0000 0.0000 0.5000 x1  2 Ti 2.64, 4 Os 2.95
B 0.0000 0.5000 0.0000 x2  2 Ti 2.09
Os 0.5000 0.5000 0.5000 x1  4 Bi 2.95

ΔE_f (meV per atom): 1975

=====

[12]
A plane-wave DFT calculation with PBE-GGA was carried out for a geometry-optimized NiOs2 structure.

a = 4.2073 Å, b = 4.2073 Å, c = 5.2291 Å
α = 90.00°, β = 90.00°, γ = 120.00°
Closest atoms and distances in Å follow each position.
Space group P6_3/mmc (No. 194)
One atom of each set of equivalent atoms:
Ni 0.3333 0.6667 0.2500 x2  5 Os 2.43-2.61
Os 0.0000 0.0000 0.0000 x2  8 Os 2.61-2.76, 6 Ni 2.76
Os 0.3333 0.6667 0.7500 x2  5 Ni 2.43-2.61

ΔE_f (meV per atom): 386
E above lowest polymorph (meV/atom): 347

=====

[13]
A plane-wave DFT calculation with PBE-GGA was carried out for a geometry-optimized Mg2SiP2Ru5 structure.

a = 9.7060 Å, b = 9.7060 Å, c = 3.0217 Å
α = 90.00°, β = 90.00°, γ = 90.00°
Closest atoms and distances in Å follow each position.
Space group P4/mbm (No. 127)
One atom of each set of equivalent atoms:
Mg 0.1716 0.3284 0.0000 x4  3 P 2.70-2.97, 6 Ru 2.80-2.92, 2 Mg 3.02
Si 0.0000 0.0000 0.0000 x2  8 Ru 2.56
P 0.1317 0.6317 0.0000 x4  6 Ru 2.30-2.36
Ru 0.0000 0.5000 0.5000 x2  4 P 2.36
Ru 0.0725 0.7999 0.5000 x8  2 P 2.30, 2 Si 2.56

Energy (eV for the cell shown): -141.85

=====

[14]
A plane-wave DFT calculation with PBE-GGA was carried out for a geometry-optimized PrPu2Al structure.

a = 7.4819 Å, b = 7.4819 Å, c = 7.4819 Å
α = 90.00°, β = 90.00°, γ = 90.00°
Closest atoms and distances in Å follow each position.
Space group Fm-3m (No. 225)
One atom of each set of equivalent atoms:
Pr 0.0000 0.0000 0.0000 x4  8 Pu 3.24
Pu 0.2500 0.2500 0.2500 x8  4 Pr 3.24, 4 Al 3.24
Al 0.0000 0.0000 0.5000 x4  8 Pu 3.24

ΔE_f (meV per atom): 151
E above lowest polymorph (meV/atom): 182

=====

[15]
A plane-wave DFT calculation with PBE-GGA was carried out for a geometry-optimized Ca2ZnPb structure.

a = 4.9712 Å, b = 4.9712 Å, c = 21.1210 Å
α = 90.00°, β = 90.00°, γ = 90.00°
Closest atoms and distances in Å follow each position.
Space group I-42d (No. 122)
One atom of each set of equivalent atoms:
Ca 0.2439 0.2500 0.1250 x8  2 Zn 3.16, 2 Pb 3.18, 2 Ca 3.47
Zn 0.0000 0.0000 0.0000 x4  4 Ca 3.16, 4 Pb 3.52
Pb 0.0000 0.0000 0.5000 x4  4 Ca 3.18, 4 Zn 3.52

ΔE_f (meV per atom): 74

=====

[16]
A plane-wave DFT calculation with PBE-GGA was carried out for a geometry-optimized AgW structure.

a = 2.7123 Å, b = 14.1163 Å, c = 5.2603 Å
α = 90.00°, β = 90.00°, γ = 90.00°
Closest atoms and distances in Å follow each position.
Space group Pmmn (No. 59, origin choice 2)
One atom of each set of equivalent atoms:
Ag 0.2500 0.0829 0.0812 x4  6 Ag 2.71-2.84, 6 W 2.94-3.01
Ag 0.2500 0.7500 0.7641 x2  6 Ag 2.71-2.84, 6 W 2.92-3.00
W 0.2500 0.2500 0.7272 x2  6 W 2.71-2.82, 6 Ag 2.92-3.01
W 0.2500 0.5832 0.4193 x4  6 W 2.71-2.84, 6 Ag 2.94-2.97

ΔE_f (meV per atom): 632
E above lowest polymorph (meV/atom): 289

=====

[17]
A plane-wave DFT calculation with PBE-GGA was carried out for a geometry-optimized TlH3Rh3 structure.

a = 5.3296 Å, b = 5.3296 Å, c = 5.3296 Å
α = 90.00°, β = 90.00°, γ = 90.00°
Closest atoms and distances in Å follow each position.
Space group Pm-3n (No. 223)
One atom of each set of equivalent atoms:
Tl 0.0000 0.0000 0.0000 x2  12 H 2.98, 12 Rh 2.98
H 0.0000 0.2500 0.5000 x6  4 Rh 1.88
Rh 0.0000 0.5000 0.2500 x6  4 H 1.88

Energy (eV for the cell shown): -67.17

=====

[18]
A plane-wave DFT calculation with PBE-GGA was carried out for a geometry-optimized SrDyAlIn structure.

a = 7.6761 Å, b = 7.6761 Å, c = 7.6761 Å
α = 90.00°, β = 90.00°, γ = 90.00°
Closest atoms and distances in Å follow each position.
Space group F-43m (No. 216)
One atom of each set of equivalent atoms:
Sr 0.0000 0.0000 0.0000 x4  4 Al 3.32, 4 In 3.32
Dy 0.0000 0.0000 0.5000 x4  4 In 3.32, 4 Al 3.32
Al 0.2500 0.2500 0.2500 x4  4 Dy 3.32, 4 Sr 3.32
In 0.2500 0.2500 0.7500 x4  4 Dy 3.32, 4 Sr 3.32

ΔE_f (meV per atom): -261

=====

[19]
A plane-wave DFT calculation with PBE-GGA was carried out for a geometry-optimized CaYRh2 structure.

a = 6.7985 Å, b = 6.7985 Å, c = 6.7985 Å
α = 90.00°, β = 90.00°, γ = 90.00°
Closest atoms and distances in Å follow each position.
Space group F-43m (No. 216)
One atom of each set of equivalent atoms:
Ca 0.0000 0.0000 0.0000 x4  4 Rh 2.94, 4 Y 2.94
Y 0.2500 0.2500 0.7500 x4  4 Ca 2.94, 4 Rh 2.94
Rh 0.0000 0.0000 0.5000 x4  4 Y 2.94, 4 Rh 2.94
Rh 0.2500 0.2500 0.2500 x4  4 Rh 2.94, 4 Ca 2.94

ΔE_f (meV per atom): -158
E above lowest polymorph (meV/atom): 467

=====

[20]
A plane-wave DFT calculation with PBE-GGA was carried out for a geometry-optimized Nd2Si3Ni12Pt structure.

a = 7.7030 Å, b = 7.7030 Å, c = 16.8825 Å
α = 90.00°, β = 90.00°, γ = 120.00°
Closest atoms and distances in Å follow each position.
Space group R-3m (No. 166, hexagonal axes)
One atom of each set of equivalent atoms:
Nd 0.0000 0.0000 0.1067 x6  6 Ni 2.67-2.74
Si 0.0000 0.5000 0.0000 x9  6 Ni 2.21-2.23
Ni 0.0142 0.5071 0.8690 x18  1 Si 2.21, 1 Pt 2.40, 2 Ni 2.48
Ni 0.0476 0.5238 0.3800 x18  2 Si 2.23, 2 Ni 2.48
Pt 0.0000 0.0000 0.5000 x3  6 Ni 2.40

Energy (eV for the cell shown): -297.96

=====

[21]
A plane-wave DFT calculation with PBE-GGA was carried out for a geometry-optimized Tb4YTm2 structure.

a = 6.1376 Å, b = 7.9240 Å, c = 9.3575 Å
α = 85.18°, β = 77.28°, γ = 82.69°
Closest atoms and distances in Å follow each position.
Space group P1 (No. 1)
One atom of each set of equivalent atoms:
Tb 0.0000 0.0000 0.0000 x1  5 Tm 3.52-3.55, 5 Tb 3.53-3.56, 2 Y 3.56
Tb 0.0689 0.8565 0.3602 x1  3 Tm 3.53-3.54, 6 Tb 3.53-3.56, 3 Y 3.55-3.57
Tb 0.2814 0.4259 0.4312 x1  4 Tm 3.53-3.55, 6 Tb 3.53-3.56, 2 Y 3.56
Tb 0.4959 0.9991 0.5026 x1  5 Tm 3.52-3.55, 6 Tb 3.53-3.56, 1 Y 3.55
Tb 0.5717 0.8558 0.8575 x1  5 Tm 3.52-3.55, 5 Tb 3.53-3.56, 2 Y 3.55
Tb 0.7103 0.5688 0.5739 x1  7 Tb 3.52-3.56, 4 Tm 3.52-3.55, 1 Y 3.55
Tb 0.7849 0.4254 0.9283 x1  5 Tm 3.51-3.54, 4 Tb 3.52-3.56, 3 Y 3.54-3.56
Tb 0.8545 0.2825 0.2875 x1  7 Tb 3.53-3.55, 3 Tm 3.54-3.55, 2 Y 3.55-3.56
Y 0.2128 0.5687 0.0713 x1  3 Tm 3.53-3.54, 7 Tb 3.54-3.57, 2 Y 3.55
Y 0.6411 0.7130 0.2158 x1  1 Tm 3.54, 9 Tb 3.55-3.56, 2 Y 3.55
Tm 0.1408 0.7130 0.7156 x1  9 Tb 3.53-3.55, 1 Y 3.53, 2 Tm 3.54-3.55
Tm 0.3557 0.2835 0.7867 x1  7 Tb 3.52-3.54, 1 Y 3.53, 4 Tm 3.53-3.55
Tm 0.4270 0.1408 0.1432 x1  9 Tb 3.53-3.55, 1 Tm 3.53, 2 Y 3.54
Tm 0.9255 0.1412 0.6450 x1  9 Tb 3.51-3.54, 3 Tm 3.53-3.54

ΔE_f (meV per atom): 18
E above lowest polymorph (meV/atom): 0

=====

[22]
A plane-wave DFT calculation with PBE-GGA was carried out for a geometry-optimized Sb2OsPt structure.

a = 3.1296 Å, b = 5.2177 Å, c = 10.3470 Å
α = 90.00°, β = 90.00°, γ = 90.00°
Closest atoms and distances in Å follow each position.
Space group Cmm2 (No. 35)
One atom of each set of equivalent atoms:
Sb 0.0000 0.0000 0.0000 x2  2 Pt 2.75, 4 Sb 3.04
Sb 0.0000 0.5000 0.3557 x2  2 Os 2.68
Os 0.0000 0.0000 0.5654 x2  2 Sb 2.68, 2 Pt 2.73
Pt 0.0000 0.5000 0.7815 x2  2 Os 2.73, 2 Sb 2.75, 4 Pt 3.04

E above lowest polymorph (meV/atom): 418

=====

[23]
A plane-wave DFT calculation with PBE-GGA was carried out for a geometry-optimized PaZnCuOs structure.

a = 6.5535 Å, b = 6.5535 Å, c = 6.5535 Å
α = 90.00°, β = 90.00°, γ = 90.00°
Closest atoms and distances in Å follow each position.
Space group F-43m (No. 216)
One atom of each set of equivalent atoms:
Pa 0.0000 0.0000 0.0000 x4  4 Cu 2.84, 4 Os 2.84
Zn 0.0000 0.0000 0.5000 x4  4 Os 2.84, 4 Cu 2.84
Cu 0.2500 0.2500 0.7500 x4  4 Pa 2.84, 4 Zn 2.84
Os 0.2500 0.2500 0.2500 x4  4 Pa 2.84, 4 Zn 2.84

ΔE_f (meV per atom): 20

=====

[24]
A plane-wave DFT calculation with PBE-GGA was carried out for a geometry-optimized RbZr2TeO8 structure.

a = 4.9061 Å, b = 4.9097 Å, c = 7.1650 Å
α = 89.87°, β = 89.87°, γ = 87.63°
Closest atoms and distances in Å follow each position.
Space group P-1 (No. 2)
One atom of each set of equivalent atoms:
Rb 0.0000 0.0000 0.0000 x1  6 O 2.51-2.61
Zr 0.4995 0.4995 0.2640 x2  6 O 2.05-2.28
Te 0.0000 0.0000 0.5000 x1  6 O 1.93-2.02
O 0.2009 0.7976 0.6895 x2  1 Te 1.93, 1 Zr 2.05
O 0.2023 0.7990 0.3105 x2  1 Te 1.93, 1 Zr 2.06
O 0.2855 0.2854 0.4999 x2  1 Te 2.02
O 0.3539 0.3556 0.0007 x2  1 O 2.06, 2 Zr 2.15-2.16

Energy (eV for the cell shown): -84.76

=====

Mass density (computed, Mg/m³): 6.027 6.984 7.821 3.714 8.181 5.171 2.942 8.467 4.313 8.098 8.473 18.195 7.513 10.402 4.489 14.430 11.322 5.756 7.077 7.305 8.027 12.360 12.985 5.041
Calculated volume (computed, Å³/f.u.): 68 109 26 131 178 71 271 111 81 72 92 40 142 105 130 34 76 113 79 289 220 84 70 172